Record 1
VASP calculation (GGA-PBE) on a geometry-optimized VNiPb2 structure.

Cell and atoms, written as POSCAR:
```
VNiPb2
1.0
-3.745 3.745 3.105
3.745 -3.745 3.105
3.745 3.745 -3.105
V Ni Pb
2 2 4
Direct
0.000 0.000 0.000
0.750 0.250 0.500
0.250 0.750 0.500
0.500 0.500 0.000
0.157 0.125 0.532
0.375 0.843 0.968
0.593 0.625 0.468
0.875 0.407 0.032
```

## Properties
ΔH_f (0 K) ... 59.66 kJ/mol of atoms
Energy relative to the lowest polymorph listed for this composition ... 130 meV/atom
Space-group type ... I-42d (122)

=====

Record 2
VASP calculation (GGA-PBE) on a geometry-optimized SmZn2Ge structure.

Cell and atoms, written as POSCAR:
```
SmZn2Ge
1.0
4.211 0.000 0.000
0.000 4.211 0.000
0.000 0.000 4.495
Sm Zn Ge
1 2 1
Direct
0.000 0.000 0.000
0.000 0.500 0.500
0.500 0.000 0.500
0.500 0.500 0.000
```

## Properties
ΔH_f (0 K) ... -38.08 kJ/mol of atoms
Energy relative to the lowest polymorph listed for this composition ... 69 meV/atom
Space-group type ... P4/mmm (123)

=====

Record 3
VASP calculation (GGA-PBE) on a geometry-optimized LaPdSe2 structure.

Cell and atoms, written as POSCAR:
```
LaPdSe2
1.0
-2.714 2.714 7.697
2.714 -2.714 7.697
2.714 2.714 -7.697
La Pd Se
2 2 4
Direct
0.000 0.000 0.000
0.750 0.250 0.500
0.250 0.750 0.500
0.500 0.500 0.000
0.186 0.625 0.061
0.375 0.436 0.561
0.564 0.125 0.939
0.875 0.814 0.439
```

## Properties
Formation energy without anion corrections ... -1.0102 eV/atom
Energy relative to the lowest polymorph listed for this composition ... 44 meV/atom
Space-group type ... I-42d (122)

=====

Record 4
VASP calculation (GGA-PBE) on a geometry-optimized HfAlN2O structure.

Cell and atoms, written as POSCAR:
```
HfAlN2O
1.0
4.195 0.000 0.000
0.000 4.195 0.000
0.000 0.000 3.981
Hf Al N O
1 1 2 1
Direct
0.000 0.000 0.000
0.500 0.500 0.500
0.000 0.500 0.000
0.500 0.000 0.000
0.000 0.000 0.500
```

## Properties
Formation energy without anion corrections ... -0.2806 eV/atom
Space-group type ... P4/mmm (123)

=====

Record 5
VASP calculation (GGA-PBE) on a geometry-optimized Pr2NdSm5Er structure.

Cell and atoms, written as POSCAR:
```
Pr2NdSm5Er
1.0
-4.400 4.400 8.024
4.400 -4.400 8.024
4.400 4.400 -8.024
Pr Nd Sm Er
4 2 10 2
Direct
0.119 0.619 0.737
0.381 0.119 0.500
0.619 0.881 0.500
0.881 0.381 0.263
0.250 0.250 0.000
0.750 0.750 0.000
0.000 0.000 0.000
0.072 0.148 0.500
0.148 0.648 0.076
0.352 0.428 0.500
0.428 0.928 0.076
0.500 0.500 0.000
0.572 0.072 0.924
0.648 0.572 0.500
0.852 0.352 0.924
0.928 0.852 0.500
0.250 0.750 0.500
0.750 0.250 0.500
```

## Properties
ΔH_f (0 K) ... 25.89 kJ/mol of atoms
Space-group type ... I4/mcm (140)

=====

Record 6
VASP calculation (GGA-PBE) on a geometry-optimized K3Tl2GaI6 structure.

Cell and atoms, written as POSCAR:
```
K3Tl2GaI6
1.0
10.901 -2.499 0.000
10.901 2.499 0.000
-2.302 0.000 9.755
K Tl Ga I
3 2 1 6
Direct
0.000 0.000 0.000
0.332 0.332 0.667
0.668 0.668 0.333
0.335 0.335 0.170
0.665 0.665 0.830
0.000 0.000 0.500
0.161 0.161 0.577
0.166 0.166 0.083
0.499 0.499 0.734
0.501 0.501 0.266
0.834 0.834 0.917
0.839 0.839 0.423
```

## Properties
Formation energy without anion corrections ... -1.0107 eV/atom
Space-group type ... C2/m (12)

=====

Record 7
VASP calculation (GGA-PBE) on a geometry-optimized Cs4H7Rh structure.

Cell and atoms, written as POSCAR:
```
Cs4H7Rh
1.0
11.819 -1.880 0.000
11.819 1.880 0.000
-1.455 0.000 5.739
Cs H Rh
4 7 1
Direct
0.079 0.079 0.082
0.191 0.191 0.692
0.809 0.809 0.308
0.921 0.921 0.918
0.000 0.000 0.500
0.210 0.210 0.211
0.426 0.426 0.430
0.499 0.499 0.217
0.501 0.501 0.783
0.574 0.574 0.570
0.790 0.790 0.789
0.500 0.500 0.500
```

## Properties
Space-group type ... C2/m (12)

=====

Record 8
VASP calculation (GGA-PBE) on a geometry-optimized Cs3CeBr8 structure.

Cell and atoms, written as POSCAR:
```
Cs3CeBr8
1.0
-4.071 4.071 8.049
4.071 -4.071 8.049
4.071 4.071 -8.049
Cs Ce Br
3 1 8
Direct
0.000 0.000 0.000
0.250 0.750 0.500
0.750 0.250 0.500
0.500 0.500 0.000
0.181 0.181 0.577
0.181 0.605 0.000
0.395 0.395 0.577
0.395 0.819 0.000
0.605 0.181 0.000
0.605 0.605 0.423
0.819 0.395 0.000
0.819 0.819 0.423
```

## Properties
Formation energy without anion corrections ... -1.4863 eV/atom
Energy relative to the lowest polymorph listed for this composition ... 15 meV/atom
Space-group type ... I4/mmm (139)

=====

Record 9
VASP calculation (GGA-PBE) on a geometry-optimized YZn2Cu structure.

Cell and atoms, written as POSCAR:
```
YZn2Cu
1.0
3.174 0.000 0.000
0.000 3.323 0.000
0.000 0.000 6.772
Y Zn Cu
1 2 1
Direct
0.000 0.000 0.000
0.000 0.000 0.527
0.500 0.500 0.307
0.500 0.500 0.715
```

## Properties
ΔH_f (0 K) ... -12.04 kJ/mol of atoms
Space-group type ... Pmm2 (25)

=====

Record 10
VASP calculation (GGA-PBE) on a geometry-optimized TaAgGe2O8 structure.

Cell and atoms, written as POSCAR:
```
TaAgGe2O8
1.0
-3.297 3.297 3.250
3.297 -3.297 3.250
3.297 3.297 -3.250
Ta Ag Ge O
1 1 2 8
Direct
0.000 0.000 0.000
0.750 0.250 0.500
0.250 0.750 0.500
0.500 0.500 0.000
0.076 0.371 0.295
0.076 0.782 0.705
0.115 0.294 0.821
0.218 0.924 0.295
0.473 0.294 0.179
0.629 0.924 0.705
0.706 0.527 0.821
0.706 0.885 0.179
```

## Properties
Formation energy without anion corrections ... -1.4538 eV/atom
Space-group type ... I-4m2 (119)

=====

Record 11
VASP calculation (GGA-PBE) on a geometry-optimized Tb3Er2Tm4 structure.

Cell and atoms, written as POSCAR:
```
Tb3Er2Tm4
1.0
5.640 -2.797 0.000
5.640 2.797 0.000
-2.106 0.000 8.887
Tb Er Tm
3 2 4
Direct
0.000 0.000 0.000
0.109 0.109 0.687
0.891 0.891 0.313
0.429 0.429 0.718
0.571 0.571 0.282
0.235 0.235 0.373
0.319 0.319 0.040
0.681 0.681 0.960
0.765 0.765 0.627
```

## Properties
ΔH_f (0 K) ... 11.55 kJ/mol of atoms
Energy relative to the lowest polymorph listed for this composition ... 13 meV/atom
Space-group type ... C2/m (12)

=====

Record 12
VASP calculation (GGA-PBE) on a geometry-optimized LaCr2Hg structure.

Cell and atoms, written as POSCAR:
```
LaCr2Hg
1.0
3.194 0.000 0.000
0.000 3.207 0.000
0.000 0.000 7.871
La Cr Hg
1 2 1
Direct
0.000 0.000 0.000
0.000 0.000 0.567
0.500 0.500 0.699
0.500 0.500 0.324
```

## Properties
ΔH_f (0 K) ... 21.06 kJ/mol of atoms
Space-group type ... Pmm2 (25)

=====

The calculation returns the following VASP energy values, one per record and in order: -0.3646 -0.2474 -0.3883 -0.5396 -0.3272 -0.1989 -0.2198 -0.2432 -0.2500 -0.4964 -0.3252 -0.4337 Ry per atom.